! SmYZn (PBE, optimized geometry); values from VASP
! energy relative to the elements: 0.017 eV per atom
! distance to the lowest polymorph of the same formula: 0.0 meV per atom
! E_tot: -4.13 eV per atom
&SYSTEM
  ibrav = 0, nat = 3, ntyp = 3
/
ATOMIC_SPECIES
Sm 150.36 Sm.upf
Y 88.91 Y.upf
Zn 65.41 Zn.upf
CELL_PARAMETERS angstrom
0.000 3.532 3.532
3.532 0.000 3.532
3.532 3.532 0.000
ATOMIC_POSITIONS crystal
Sm 0.000 0.000 0.000
Y 0.500 0.500 0.500
Zn 0.250 0.250 0.250

! La2SmCo2B2N3 (PBE, optimized geometry); values from VASP
! E_tot: -7.76 eV per atom
&SYSTEM
  ibrav = 0, nat = 10, ntyp = 5
/
ATOMIC_SPECIES
La 138.91 La.upf
Sm 150.36 Sm.upf
Co 58.93 Co.upf
B 10.81 B.upf
N 14.01 N.upf
CELL_PARAMETERS angstrom
-1.843 1.843 9.919
1.843 -1.843 9.919
1.843 1.843 -9.919
ATOMIC_POSITIONS crystal
La 0.130 0.130 0.000
La 0.870 0.870 0.000
Sm 0.500 0.500 0.000
Co 0.250 0.750 0.500
Co 0.750 0.250 0.500
B 0.302 0.302 0.000
B 0.698 0.698 0.000
N 0.000 0.000 0.000
N 0.377 0.377 0.000
N 0.623 0.623 0.000

! ZnCu2SiTe2S2 (PBE, optimized geometry); values from VASP
! distance to the lowest polymorph of the same formula: 25.2 meV per atom
! E_tot: -3.88 eV per atom
&SYSTEM
  ibrav = 0, nat = 8, ntyp = 5
/
ATOMIC_SPECIES
Zn 65.41 Zn.upf
Cu 63.55 Cu.upf
Si 28.09 Si.upf
Te 127.60 Te.upf
S 32.06 S.upf
CELL_PARAMETERS angstrom
0.000 4.047 5.613
3.948 0.000 5.613
3.948 4.047 0.000
ATOMIC_POSITIONS crystal
Zn 0.000 0.000 0.000
Cu 0.289 0.289 0.211
Cu 0.789 0.789 0.711
Si 0.500 0.500 0.500
Te 0.399 0.883 0.117
Te 0.883 0.399 0.601
S 0.158 0.616 0.842
S 0.616 0.158 0.384

! CuAg4 (PBE, optimized geometry); values from VASP
! energy relative to the elements: 0.054 eV per atom
! distance to the lowest polymorph of the same formula: 29.5 meV per atom
! E_tot: -2.95 eV per atom
&SYSTEM
  ibrav = 0, nat = 10, ntyp = 2
/
ATOMIC_SPECIES
Cu 63.55 Cu.upf
Ag 107.87 Ag.upf
CELL_PARAMETERS angstrom
6.185 -1.455 0.000
6.185 1.455 0.000
-1.872 0.000 9.386
ATOMIC_POSITIONS crystal
Cu 0.201 0.201 0.091
Cu 0.799 0.799 0.909
Ag 0.000 0.000 0.500
Ag 0.110 0.110 0.809
Ag 0.298 0.298 0.397
Ag 0.399 0.399 0.711
Ag 0.500 0.500 0.000
Ag 0.601 0.601 0.289
Ag 0.702 0.702 0.603
Ag 0.890 0.890 0.191

! LiHfTe2AuSe (PBE, optimized geometry); values from VASP
! E_tot: -4.83 eV per atom
&SYSTEM
  ibrav = 0, nat = 12, ntyp = 5
/
ATOMIC_SPECIES
Li 6.94 Li.upf
Hf 178.49 Hf.upf
Te 127.60 Te.upf
Au 196.97 Au.upf
Se 78.96 Se.upf
CELL_PARAMETERS angstrom
2.006 -7.581 0.000
2.006 7.581 0.000
0.000 0.000 10.399
ATOMIC_POSITIONS crystal
Li 0.167 0.833 0.750
Li 0.833 0.167 0.250
Hf 0.000 0.000 0.000
Hf 0.000 0.000 0.500
Te 0.359 0.641 0.032
Te 0.359 0.641 0.468
Te 0.641 0.359 0.532
Te 0.641 0.359 0.968
Au 0.459 0.541 0.250
Au 0.541 0.459 0.750
Se 0.071 0.929 0.250
Se 0.929 0.071 0.750

! LiCdFeSb (PBE, optimized geometry); values from VASP
! distance to the lowest polymorph of the same formula: 0.0 meV per atom
! E_tot: -3.77 eV per atom
&SYSTEM
  ibrav = 0, nat = 4, ntyp = 4
/
ATOMIC_SPECIES
Li 6.94 Li.upf
Cd 112.41 Cd.upf
Fe 55.84 Fe.upf
Sb 121.76 Sb.upf
CELL_PARAMETERS angstrom
0.000 3.211 3.211
3.211 0.000 3.211
3.211 3.211 0.000
ATOMIC_POSITIONS crystal
Li 0.000 0.000 0.000
Cd 0.750 0.750 0.750
Fe 0.500 0.500 0.500
Sb 0.250 0.250 0.250

! Hf2ReOs (PBE, optimized geometry); values from VASP
! energy relative to the elements: -0.516 eV per atom
! distance to the lowest polymorph of the same formula: 0.0 meV per atom
! E_tot: -11.41 eV per atom
&SYSTEM
  ibrav = 0, nat = 4, ntyp = 3
/
ATOMIC_SPECIES
Hf 178.49 Hf.upf
Re 186.21 Re.upf
Os 190.23 Os.upf
CELL_PARAMETERS angstrom
4.613 0.000 0.000
0.000 4.613 0.000
0.000 0.000 3.253
ATOMIC_POSITIONS crystal
Hf 0.000 0.500 0.000
Hf 0.500 0.000 0.000
Re 0.000 0.000 0.500
Os 0.500 0.500 0.500

! DyTlOs (PBE, optimized geometry); values from VASP
! distance to the lowest polymorph of the same formula: 0.0 meV per atom
! E_tot: -5.39 eV per atom
&SYSTEM
  ibrav = 0, nat = 3, ntyp = 3
/
ATOMIC_SPECIES
Dy 162.50 Dy.upf
Tl 204.38 Tl.upf
Os 190.23 Os.upf
CELL_PARAMETERS angstrom
0.000 3.321 3.321
3.321 0.000 3.321
3.321 3.321 0.000
ATOMIC_POSITIONS crystal
Dy 0.000 0.000 0.000
Tl 0.250 0.250 0.250
Os 0.500 0.500 0.500

! Pr2Fe3Ge5 (PBE, optimized geometry); values from VASP
! distance to the lowest polymorph of the same formula: 5.5 meV per atom
! E_tot: -6.20 eV per atom
&SYSTEM
  ibrav = 0, nat = 20, ntyp = 3
/
ATOMIC_SPECIES
Pr 140.91 Pr.upf
Fe 55.84 Fe.upf
Ge 72.64 Ge.upf
CELL_PARAMETERS angstrom
-4.930 6.120 2.909
4.930 -6.120 2.909
4.930 6.120 -2.909
ATOMIC_POSITIONS crystal
Pr 0.133 0.239 0.372
Pr 0.367 0.739 0.106
Pr 0.633 0.261 0.894
Pr 0.867 0.761 0.628
Fe 0.139 0.900 0.039
Fe 0.250 0.750 0.500
Fe 0.361 0.400 0.761
Fe 0.639 0.600 0.239
Fe 0.750 0.250 0.500
Fe 0.861 0.100 0.961
Ge 0.021 0.750 0.271
Ge 0.099 0.665 0.763
Ge 0.250 0.250 0.000
Ge 0.401 0.165 0.566
Ge 0.479 0.750 0.729
Ge 0.521 0.250 0.271
Ge 0.599 0.835 0.434
Ge 0.750 0.750 0.000
Ge 0.901 0.335 0.237
Ge 0.979 0.250 0.729

! DyScAu (PBE, optimized geometry); values from VASP
! energy relative to the elements: 0.071 eV per atom
! distance to the lowest polymorph of the same formula: 0.0 meV per atom
! E_tot: -4.66 eV per atom
&SYSTEM
  ibrav = 0, nat = 3, ntyp = 3
/
ATOMIC_SPECIES
Dy 162.50 Dy.upf
Sc 44.96 Sc.upf
Au 196.97 Au.upf
CELL_PARAMETERS angstrom
0.000 3.309 3.309
3.309 0.000 3.309
3.309 3.309 0.000
ATOMIC_POSITIONS crystal
Dy 0.000 0.000 0.000
Sc 0.750 0.750 0.750
Au 0.500 0.500 0.500

! NaHfAgTe3 (PBE, optimized geometry); values from VASP
! distance to the lowest polymorph of the same formula: 103.0 meV per atom
! E_tot: -4.51 eV per atom
&SYSTEM
  ibrav = 0, nat = 24, ntyp = 4
/
ATOMIC_SPECIES
Na 22.99 Na.upf
Hf 178.49 Hf.upf
Ag 107.87 Ag.upf
Te 127.60 Te.upf
CELL_PARAMETERS angstrom
12.998 0.000 0.000
0.000 4.179 0.000
0.000 0.000 12.675
ATOMIC_POSITIONS crystal
Na 0.171 0.250 0.025
Na 0.329 0.750 0.525
Na 0.671 0.250 0.475
Na 0.829 0.750 0.975
Hf 0.055 0.250 0.330
Hf 0.445 0.750 0.830
Hf 0.555 0.250 0.170
Hf 0.945 0.750 0.670
Ag 0.245 0.750 0.204
Ag 0.255 0.250 0.704
Ag 0.745 0.750 0.296
Ag 0.755 0.250 0.796
Te 0.034 0.750 0.165
Te 0.079 0.250 0.575
Te 0.235 0.750 0.853
Te 0.265 0.250 0.353
Te 0.421 0.750 0.075
Te 0.466 0.250 0.665
Te 0.534 0.750 0.335
Te 0.579 0.250 0.925
Te 0.735 0.750 0.647
Te 0.765 0.250 0.147
Te 0.921 0.750 0.425
Te 0.966 0.250 0.835

! CoReMoPb (PBE, optimized geometry); values from VASP
! distance to the lowest polymorph of the same formula: 0.0 meV per atom
! E_tot: -7.83 eV per atom
&SYSTEM
  ibrav = 0, nat = 4, ntyp = 4
/
ATOMIC_SPECIES
Co 58.93 Co.upf
Re 186.21 Re.upf
Mo 95.94 Mo.upf
Pb 207.20 Pb.upf
CELL_PARAMETERS angstrom
0.000 3.180 3.180
3.180 0.000 3.180
3.180 3.180 0.000
ATOMIC_POSITIONS crystal
Co 0.000 0.000 0.000
Re 0.500 0.500 0.500
Mo 0.250 0.250 0.250
Pb 0.750 0.750 0.750